Below is a relaxed structure of Na2BeS2, with properties calculated at the GGA-PBE level.

a = 6.9441 Å, b = 6.9441 Å, c = 6.9441 Å
α = 128.68°, β = 72.08°, γ = 133.05°
With the nearest neighbours (Å) after each atom.
Fractional coordinates of all 10 atoms:
Na  0.1447  0.1664  0.3112  5 S 2.82-2.93, 2 Be 2.93
Na  0.3553  0.6664  0.0217  5 S 2.82-2.93, 2 Be 2.93
Na  0.6447  0.3336  0.9783  5 S 2.82-2.93, 2 Be 2.93
Na  0.8553  0.8336  0.6888  5 S 2.82-2.93, 2 Be 2.93
Be  0.2500  0.7500  0.5000  4 S 2.15
Be  0.7500  0.2500  0.5000  4 S 2.15
S  0.1041  0.6912  0.7953  2 Be 2.15
S  0.3959  0.1912  0.5870  2 Be 2.15
S  0.6041  0.8088  0.4130  2 Be 2.15
S  0.8959  0.3088  0.2047  2 Be 2.15

- space-group type = Ibam
- formation energy (no corrections) (eV per atom) = -1.0977

=====

Below is a relaxed structure of GaCoB2C, with properties calculated at the GGA-PBE level.

a = 4.0321 Å, b = 4.0321 Å, c = 3.8551 Å
α = 90.00°, β = 90.00°, γ = 90.00°
With the nearest neighbours (Å) after each atom.
Fractional coordinates of all 5 atoms:
Ga  0.0000  0.0000  0.0000  2 C 1.93, 4 B 2.02
Co  0.5000  0.5000  0.5000  8 B 2.79, 4 C 2.85
B  0.0000  0.5000  0.0000  2 Ga 2.02
B  0.5000  0.0000  0.0000  2 Ga 2.02
C  0.0000  0.0000  0.5000  2 Ga 1.93

- energy of formation from the pure elements (eV/atom) = 2.49
- space-group type = P4/mmm

=====

Below is a relaxed structure of Nd2SmDy4, with properties calculated at the GGA-PBE level.

a = 6.5714 Å, b = 6.5714 Å, c = 6.4638 Å
α = 112.14°, β = 112.14°, γ = 90.83°
With the nearest neighbours (Å) after each atom.
Fractional coordinates of all 7 atoms:
Nd  0.0487  0.0487  0.2705  1 Nd 3.11, 6 Dy 3.33-3.40
Nd  0.9513  0.9513  0.7295  1 Nd 3.11, 6 Dy 3.33-3.40
Sm  0.5000  0.5000  0.5000  2 Nd 3.59, 8 Dy 3.69-3.78
Dy  0.0973  0.4736  0.7839  3 Nd 3.33-3.40, 4 Dy 3.40-3.56, 1 Sm 3.69
Dy  0.4736  0.0973  0.7839  3 Nd 3.33-3.40, 4 Dy 3.40-3.56, 1 Sm 3.69
Dy  0.5264  0.9027  0.2161  3 Nd 3.33-3.40, 4 Dy 3.40-3.56, 1 Sm 3.69
Dy  0.9027  0.5264  0.2161  3 Nd 3.33-3.40, 4 Dy 3.40-3.56, 1 Sm 3.69

- energy of formation from the pure elements (eV/atom) = 0.21
- space-group type = C2/m

=====

Below is a relaxed structure of NaOsIN2, with properties calculated at the GGA-PBE level.

a = 4.0704 Å, b = 4.0704 Å, c = 5.3254 Å
α = 90.00°, β = 90.00°, γ = 90.00°
With the nearest neighbours (Å) after each atom.
Fractional coordinates of all 5 atoms:
Na  0.0000  0.0000  0.0000  4 N 2.04
Os  0.5000  0.5000  0.5000  4 I 2.88
I  0.0000  0.0000  0.5000  2 Na 2.66, 4 Os 2.88
N  0.0000  0.5000  0.0000  2 Na 2.04
N  0.5000  0.0000  0.0000  2 Na 2.04

- space-group type = P4/mmm
- formation energy (no corrections) (eV per atom) = 3.0100

=====

Below is a relaxed structure of KMo4Pb, with properties calculated at the GGA-PBE level.

a = 5.5178 Å, b = 5.5178 Å, c = 5.5178 Å
α = 60.00°, β = 60.00°, γ = 60.00°
With the nearest neighbours (Å) after each atom.
Fractional coordinates of all 6 atoms:
K  0.0000  0.0000  0.0000  12 Mo 3.23, 4 Pb 3.38
Mo  0.1189  0.6270  0.6270  6 Mo 2.71-2.80
Mo  0.6270  0.1189  0.6270  6 Mo 2.71-2.80
Mo  0.6270  0.6270  0.1189  6 Mo 2.71-2.80
Mo  0.6270  0.6270  0.6270  6 Mo 2.71-2.80
Pb  0.2500  0.2500  0.2500  12 Mo 3.24, 4 K 3.38

- energy of formation from the pure elements (eV/atom) = 1.00
- space-group type = F-43m

=====

Below is a relaxed structure of CeHOs, with properties calculated at the GGA-PBE level.

a = 7.9240 Å, b = 7.9240 Å, c = 7.9240 Å
α = 30.01°, β = 30.01°, γ = 30.01°
With the nearest neighbours (Å) after each atom.
Fractional coordinates of all 6 atoms:
Ce  0.0948  0.0948  0.0948  4 H 2.38-2.53
Ce  0.9052  0.9052  0.9052  4 H 2.38-2.53
H  0.1995  0.1995  0.1995  4 Ce 2.38-2.53
H  0.8005  0.8005  0.8005  4 Ce 2.38-2.53
Os  0.3449  0.3449  0.3449  3 Os 2.43
Os  0.6551  0.6551  0.6551  3 Os 2.43

- space-group type = R-3m

=====

Below is a relaxed structure of BaCdIn4, with properties calculated at the GGA-PBE level.

a = 9.1939 Å, b = 9.1939 Å, c = 7.6867 Å
α = 90.00°, β = 90.00°, γ = 144.30°
With the nearest neighbours (Å) after each atom.
Fractional coordinates of all 12 atoms:
Ba  0.1090  0.8910  0.7500  13 In 3.49-3.91
Ba  0.8910  0.1090  0.2500  13 In 3.49-3.91
Cd  0.3555  0.6445  0.7500  6 In 2.90-3.18
Cd  0.6445  0.3555  0.2500  6 In 2.90-3.18
In  0.0906  0.9094  0.2500  2 Cd 2.97
In  0.2644  0.7356  0.0653  3 In 2.84-3.03, 1 Cd 2.90
In  0.2644  0.7356  0.4347  3 In 2.84-3.03, 1 Cd 2.90
In  0.5000  0.5000  0.0000  2 Cd 3.18
In  0.5000  0.5000  0.5000  2 Cd 3.18
In  0.7356  0.2644  0.5653  3 In 2.84-3.03, 1 Cd 2.90
In  0.7356  0.2644  0.9347  3 In 2.84-3.03, 1 Cd 2.90
In  0.9094  0.0906  0.7500  2 Cd 2.97

- energy of formation from the pure elements (eV/atom) = -0.13
- space-group type = Cmcm

=====

Below is a relaxed structure of POsW2, with properties calculated at the GGA-PBE level.

a = 3.0548 Å, b = 4.3771 Å, c = 4.4300 Å
α = 90.00°, β = 90.00°, γ = 90.00°
With the nearest neighbours (Å) after each atom.
Fractional coordinates of all 4 atoms:
P  0.0000  0.0000  0.0000  4 W 2.67, 4 Os 2.69
Os  0.5000  0.0000  0.5000  4 W 2.67, 4 P 2.69
W  0.0000  0.5000  0.5000  4 Os 2.67, 4 W 2.69
W  0.5000  0.5000  0.0000  4 P 2.67, 4 W 2.69

- energy of formation from the pure elements (eV/atom) = 0.29
- space-group type = Pmmm

=====

Below is a relaxed structure of NaEuCd2, with properties calculated at the GGA-PBE level.

a = 5.4522 Å, b = 5.4522 Å, c = 5.4522 Å
α = 60.00°, β = 60.00°, γ = 60.00°
With the nearest neighbours (Å) after each atom.
Fractional coordinates of all 4 atoms:
Na  0.0000  0.0000  0.0000  8 Cd 3.34
Eu  0.5000  0.5000  0.5000  8 Cd 3.34
Cd  0.2500  0.2500  0.2500  4 Eu 3.34, 4 Na 3.34
Cd  0.7500  0.7500  0.7500  4 Eu 3.34, 4 Na 3.34

- energy of formation from the pure elements (eV/atom) = -0.18
- space-group type = Fm-3m

=====

Below is a relaxed structure of Tc2TeMo, with properties calculated at the GGA-PBE level.

a = 4.9084 Å, b = 4.9084 Å, c = 4.9084 Å
α = 131.51°, β = 131.51°, γ = 71.00°
With the nearest neighbours (Å) after each atom.
Fractional coordinates of all 4 atoms:
Tc  0.2500  0.7500  0.5000  4 Mo 2.84, 4 Te 2.84, 4 Tc 2.85
Tc  0.7500  0.2500  0.5000  4 Mo 2.84, 4 Te 2.84, 4 Tc 2.85
Te  0.0000  0.0000  0.0000  8 Tc 2.84, 4 Mo 2.85
Mo  0.5000  0.5000  0.0000  8 Tc 2.84, 4 Te 2.85

- space-group type = I4/mmm
- formation energy (no corrections) (eV per atom) = 0.4346

=====

Below is a relaxed structure of Pm2AsW, with properties calculated at the GGA-PBE level.

a = 4.9606 Å, b = 4.9606 Å, c = 3.7993 Å
α = 90.00°, β = 90.00°, γ = 90.00°
With the nearest neighbours (Å) after each atom.
Fractional coordinates of all 4 atoms:
Pm  0.0000  0.5000  0.0000  4 W 3.12, 4 As 3.12
Pm  0.5000  0.0000  0.0000  4 W 3.12, 4 As 3.12
As  0.0000  0.0000  0.5000  8 Pm 3.12
W  0.5000  0.5000  0.5000  8 Pm 3.12

- energy of formation from the pure elements (eV/atom) = 0.02
- space-group type = P4/mmm

=====

Below is a relaxed structure of LiNdTmTl, with properties calculated at the GGA-PBE level.

a = 5.3426 Å, b = 5.3426 Å, c = 5.3426 Å
α = 60.00°, β = 60.00°, γ = 60.00°
With the nearest neighbours (Å) after each atom.
Fractional coordinates of all 4 atoms:
Li  0.0000  0.0000  0.0000  4 Nd 3.27, 4 Tm 3.27
Nd  0.2500  0.2500  0.2500  4 Tl 3.27, 4 Li 3.27
Tm  0.7500  0.7500  0.7500  4 Tl 3.27, 4 Li 3.27
Tl  0.5000  0.5000  0.5000  4 Nd 3.27, 4 Tm 3.27

- energy of formation from the pure elements (eV/atom) = -0.18
- space-group type = F-43m

=====

Below is a relaxed structure of CrTcNi3, with properties calculated at the GGA-PBE level.

a = 4.1794 Å, b = 4.1794 Å, c = 4.1794 Å
α = 90.00°, β = 90.00°, γ = 90.00°
With the nearest neighbours (Å) after each atom.
Fractional coordinates of all 5 atoms:
Cr  0.0000  0.0000  0.0000  6 Ni 2.09
Tc  0.5000  0.5000  0.5000  12 Ni 2.96
Ni  0.0000  0.0000  0.5000  2 Cr 2.09
Ni  0.0000  0.5000  0.0000  2 Cr 2.09
Ni  0.5000  0.0000  0.0000  2 Cr 2.09

- energy of formation from the pure elements (eV/atom) = 1.31
- space-group type = Pm-3m

=====

Per-record raw total energy, eV per cell: -40.216, -20.270, -31.227, -15.700, -42.134, -42.211, -29.111, -41.402, -14.162, -32.966, -27.023, -14.254, -30.798